! SCAN Tm2Pd2O5, PBEsol geometry; values from VASP
&SYSTEM
  ibrav = 0, nat = 9, ntyp = 3
/
ATOMIC_SPECIES
Pd 106.42 Pd.upf
Tm 168.93 Tm.upf
O 16.00 O.upf
CELL_PARAMETERS angstrom
-0.5845 3.0950 2.3737
-3.8333 -0.0125 -0.9277
-1.2366 -4.1955 5.1659
ATOMIC_POSITIONS angstrom
Pd -2.4446 0.7417 1.7075
Tm -0.6183 -2.0978 2.5829
O -0.5718 0.5990 2.3548
O -2.1962 -0.9548 0.7041
O -2.8272 -0.5565 3.3059
Tm 0.0000 0.0000 0.0000
O -2.8737 -3.2532 3.5341
O -1.2493 -1.6995 5.1848
Pd -3.2098 -1.8547 4.9044
! * total magnetic moment: 0.00 μB/cell
! * SG: P4/mmm
! * V: 11.699 Å³ per atom
! * E: -24.1379 eV/atom